1.
LiGdTc after structural relaxation, computed with PBE.

Unit cell a=4.5471 b=4.5471 c=4.5471 alpha=60.00 beta=60.00 gamma=60.00
Positions (direct):
Li 0.0000 0.0000 0.0000
Gd 0.2500 0.2500 0.2500
Tc 0.5000 0.5000 0.5000

Output
**Spin magnetization**: 1.062 Bohr magnetons per cell
**Distance to the lowest polymorph of the same formula**: 1.061 eV per formula unit
**Density**: 6.55 g/cm3
**V**: 22.16 A^3/atom
**Uncorrected energy**: -4.54 eV/atom

2.
LiGdTc after structural relaxation, computed with PBE.

Unit cell a=4.3840 b=4.3840 c=4.3840 alpha=60.00 beta=60.00 gamma=60.00
Positions (direct):
Li 0.0000 0.0000 0.0000
Gd 0.7500 0.7500 0.7500
Tc 0.2500 0.2500 0.2500

Output
**Spin magnetization**: 1.029 Bohr magnetons per cell
**Distance to the lowest polymorph of the same formula**: 0.000 eV per formula unit
**Density**: 7.31 g/cm3
**V**: 19.86 A^3/atom
**Uncorrected energy**: -4.89 eV/atom

3.
LiGdTe after structural relaxation, computed with PBE.

Unit cell a=4.8992 b=4.8992 c=4.8992 alpha=60.00 beta=60.00 gamma=60.00
Positions (direct):
Li 0.0000 0.0000 0.0000
Gd 0.5000 0.5000 0.5000
Te 0.7500 0.7500 0.7500

Output
**Spin magnetization**: 0.011 Bohr magnetons per cell
**Distance to the lowest polymorph of the same formula**: 0.000 eV per formula unit
**Density**: 5.83 g/cm3
**V**: 27.72 A^3/atom
**Uncorrected energy**: -3.83 eV/atom

4.
LiGdTe after structural relaxation, computed with PBE.

Unit cell a=5.0037 b=5.0037 c=5.0037 alpha=60.00 beta=60.00 gamma=60.00
Positions (direct):
Li 0.0000 0.0000 0.0000
Gd 0.2500 0.2500 0.2500
Te 0.5000 0.5000 0.5000

Output
**Spin magnetization**: 0.003 Bohr magnetons per cell
**Distance to the lowest polymorph of the same formula**: 0.673 eV per formula unit
**Density**: 5.47 g/cm3
**V**: 29.53 A^3/atom
**Uncorrected energy**: -3.61 eV/atom

5.
LiGdZnTe3 after structural relaxation, computed with PBE.

Unit cell a=7.4858 b=7.4858 c=11.5225 alpha=90.00 beta=90.00 gamma=147.14
Positions (direct):
Li 0.2038 0.7962 0.7500
Li 0.7962 0.2038 0.2500
Gd 0.0000 0.0000 0.0000
Gd 0.0000 0.0000 0.5000
Zn 0.4774 0.5226 0.2500
Zn 0.5226 0.4774 0.7500
Te 0.0938 0.9062 0.2500
Te 0.3553 0.6447 0.0744
Te 0.3553 0.6447 0.4256
Te 0.6447 0.3553 0.5744
Te 0.6447 0.3553 0.9256
Te 0.9062 0.0938 0.7500

Output
**Spin magnetization**: 0.005 Bohr magnetons per cell
**Distance to the lowest polymorph of the same formula**: 0.000 eV per formula unit
**Density**: 5.81 g/cm3
**V**: 29.19 A^3/atom
**Uncorrected energy**: -3.83 eV/atom

6.
LiGdZnTe3 after structural relaxation, computed with PBE.

Unit cell a=12.9452 b=4.2977 c=12.6401 alpha=90.00 beta=90.00 gamma=90.00
Positions (direct):
Li 0.1208 0.2500 0.0092
Li 0.3792 0.7500 0.5092
Li 0.6208 0.2500 0.4908
Li 0.8792 0.7500 0.9908
Gd 0.0462 0.2500 0.6780
Gd 0.4538 0.7500 0.1780
Gd 0.5462 0.2500 0.8220
Gd 0.9538 0.7500 0.3220
Zn 0.2381 0.2500 0.2870
Zn 0.2619 0.7500 0.7870
Zn 0.7381 0.2500 0.2130
Zn 0.7619 0.7500 0.7130
Te 0.0676 0.7500 0.8602
Te 0.0905 0.2500 0.4267
Te 0.2137 0.7500 0.1594
Te 0.2863 0.2500 0.6594
Te 0.4095 0.7500 0.9267
Te 0.4324 0.2500 0.3602
Te 0.5676 0.7500 0.6398
Te 0.5905 0.2500 0.0733
Te 0.7137 0.7500 0.3406
Te 0.7863 0.2500 0.8406
Te 0.9095 0.7500 0.5733
Te 0.9324 0.2500 0.1398

Output
**Spin magnetization**: 0.004 Bohr magnetons per cell
**Distance to the lowest polymorph of the same formula**: 0.165 eV per formula unit
**Density**: 5.78 g/cm3
**V**: 29.30 A^3/atom
**Uncorrected energy**: -3.80 eV/atom